! EuCrO2 (PBE with a Hubbard U, optimized geometry); values from VASP
&SYSTEM
  ibrav = 0, nat = 12, ntyp = 3
/
ATOMIC_SPECIES
Eu 151.96 Eu.upf
Cr 52.00 Cr.upf
O 16.00 O.upf
ATOMIC_POSITIONS angstrom
Eu 0.0000 0.0000 0.0000
Eu 0.0000 2.0107 10.5761
Eu 1.7413 1.0053 5.2880
Cr 0.0000 0.0000 7.9321
Cr 0.0000 2.0107 2.6440
Cr 1.7413 1.0053 13.2201
O 0.0000 0.0000 3.8662
O 0.0000 0.0000 11.9979
O 0.0000 2.0107 6.7099
O 0.0000 2.0107 14.4423
O 1.7413 1.0053 1.4218
O 1.7413 1.0053 9.1543
CELL_PARAMETERS angstrom
3.4826 0.0000 0.0000
-1.7413 3.0160 0.0000
0.0000 0.0000 15.8642
! - Uncorrected energy: -8.855 eV per atom
! - Spin magnetization: 33.000 μB/cell
! - ρ: 7.1 g/cm3
! - D(E_F): 11.33 states/eV/cell